DFT (SCAN) results for a crystal of La2TlRh relaxed with PBEsol.

```
La2TlRh
1.0
-0.2179 -3.7502 0.0281
1.6591 -0.1229 -3.5363
6.0121 -0.3200 3.9151
Tl La Rh
1 2 1
Cartesian
0.7206 -1.9366 -1.7541
5.8238 -0.3417 -0.4505
1.8474 -0.1011 0.8293
3.7267 -2.0965 0.2034
```

Values from the calculation:
- DOS(E_F): 2.8 states/eV per cell
- DFT formation energy: -0.656 eV/atom
- Mass density: 9.3 g/cm³
- E above lowest polymorph: 0.68 kcal/mol of atoms